[1]
{
  "formula": "KCNF2",
  "functional": "SCAN",
  "state": "single point on PBEsol structure",
  "cell": [[-0.994, -2.315, 0.096], [3.085, -1.453, -3.106], [2.908, -1.106, 3.405]],
  "species": ["K", "N", "C", "F", "F"],
  "fractional_positions": [[0.500, 0.500, 0.500], [0.500, 0.000, 0.000], [0.000, 0.000, 0.000], [0.000, 0.000, 0.500], [0.000, 0.500, 0.000]],
  "dos_ef_per_ev_cell": 1.590,
  "energy_ev_per_atom": -7.797
}

=====

[2]
{
  "formula": "KPb2C2O6F",
  "functional": "SCAN",
  "state": "single point on PBEsol structure",
  "cell": [[5.272, 0.000, 0.000], [-2.636, 4.566, 0.000], [0.000, 0.000, 13.854]],
  "species": ["K", "K", "Pb", "Pb", "Pb", "Pb", "C", "C", "C", "C", "O", "O", "O", "O", "O", "O", "O", "O", "O", "O", "O", "O", "F", "F"],
  "fractional_positions": [[0.667, 0.333, 0.250], [0.333, 0.667, 0.750], [0.333, 0.667, 0.419], [0.667, 0.333, 0.581], [0.667, 0.333, 0.919], [0.333, 0.667, 0.081], [0.000, 0.000, 0.396], [0.000, 0.000, 0.604], [0.000, 0.000, 0.896], [0.000, 0.000, 0.104], [0.858, 0.716, 0.396], [0.858, 0.142, 0.396], [0.284, 0.142, 0.396], [0.142, 0.284, 0.604], [0.142, 0.858, 0.604], [0.716, 0.858, 0.604], [0.142, 0.284, 0.896], [0.142, 0.858, 0.896], [0.716, 0.858, 0.896], [0.858, 0.716, 0.104], [0.858, 0.142, 0.104], [0.284, 0.142, 0.104], [0.333, 0.667, 0.250], [0.667, 0.333, 0.750]],
  "dos_ef_per_ev_cell": 0.000,
  "energy_ev_per_atom": -20.150
}

=====

[3]
{
  "formula": "KSrCO3F",
  "functional": "SCAN",
  "state": "single point on PBEsol structure",
  "cell": [[-1.526, -4.253, -1.266], [4.608, -2.065, 1.381], [-3.871, 0.344, 3.508]],
  "species": ["Sr", "K", "C", "O", "O", "O", "F"],
  "fractional_positions": [[0.500, 0.333, 0.667], [0.000, 0.000, 0.000], [0.500, 0.667, 0.333], [0.500, 0.380, 0.190], [0.500, 0.810, 0.620], [0.500, 0.810, 0.190], [0.000, 0.333, 0.667]],
  "dos_ef_per_ev_cell": 0.000,
  "energy_ev_per_atom": -11.593
}

=====

[4]
{
  "formula": "La2C2F",
  "functional": "SCAN",
  "state": "single point on PBEsol structure",
  "cell": [[3.465, 0.000, 0.000], [0.000, 6.942, 0.000], [0.000, 0.000, 6.942]],
  "species": ["C", "C", "C", "C", "F", "F", "La", "La", "La", "La"],
  "fractional_positions": [[0.500, 0.071, 0.571], [0.500, 0.571, 0.929], [0.500, 0.929, 0.429], [0.500, 0.429, 0.071], [0.000, 0.000, 0.000], [0.000, 0.500, 0.500], [0.000, 0.301, 0.801], [0.000, 0.801, 0.699], [0.000, 0.699, 0.199], [0.000, 0.199, 0.301]],
  "dos_ef_per_ev_cell": 4.879,
  "de_polymorph_ev_per_atom": 0.000
}

=====

[5]
{
  "formula": "La2C2F",
  "functional": "SCAN",
  "state": "single point on PBEsol structure",
  "cell": [[-3.671, -0.476, -0.395], [0.101, -2.808, 2.443], [0.702, 5.900, 3.916]],
  "species": ["C", "C", "F", "La", "La"],
  "fractional_positions": [[0.250, 0.750, 0.500], [0.750, 0.250, 0.500], [0.000, 0.000, 0.000], [0.364, 0.364, 0.728], [0.636, 0.636, 0.272]],
  "dos_ef_per_ev_cell": 1.408,
  "de_polymorph_ev_per_atom": 0.882
}

=====

[6]
{
  "formula": "LiCN2F",
  "functional": "SCAN",
  "state": "single point on PBEsol structure",
  "cell": [[-2.114, -2.291, 0.834], [2.123, -2.695, -2.022], [2.132, -0.776, 3.272]],
  "species": ["C", "Li", "F", "N", "N"],
  "fractional_positions": [[0.500, 0.500, 0.500], [0.000, 0.000, 0.000], [0.500, 0.000, 0.000], [0.000, 0.000, 0.500], [0.000, 0.500, 0.000]],
  "dos_ef_per_ev_cell": 2.007,
  "de_polymorph_ev_per_atom": 1.615
}

=====

[7]
{
  "formula": "LiCNF2",
  "functional": "SCAN",
  "state": "single point on PBEsol structure",
  "cell": [[-1.523, -1.324, 1.453], [2.384, -3.451, -0.646], [2.360, 0.997, 3.383]],
  "species": ["C", "N", "Li", "F", "F"],
  "fractional_positions": [[0.000, 0.000, 0.000], [0.500, 0.000, 0.000], [0.500, 0.500, 0.500], [0.000, 0.000, 0.500], [0.000, 0.500, 0.000]],
  "energy_ev_per_atom": -6.562
}

=====

[8]
{
  "formula": "LiCN2F",
  "functional": "SCAN",
  "state": "single point on PBEsol structure",
  "cell": [[-1.666, 2.349, -0.187], [-1.965, -1.258, 1.697], [2.717, 2.315, 4.861]],
  "species": ["C", "Li", "F", "N", "N"],
  "fractional_positions": [[0.000, 0.000, 0.000], [0.500, 0.500, 0.500], [0.000, 0.000, 0.500], [0.000, 0.500, 0.000], [0.500, 0.000, 0.000]],
  "dos_ef_per_ev_cell": 1.316,
  "de_polymorph_ev_per_atom": 0.000
}

=====

[9]
{
  "formula": "LiReCF2",
  "functional": "SCAN",
  "state": "single point on PBEsol structure",
  "cell": [[3.859, 0.000, 0.000], [0.000, 4.547, 0.000], [0.000, 0.000, 4.547]],
  "species": ["Re", "C", "Li", "F", "F"],
  "fractional_positions": [[0.500, 0.000, 0.000], [0.000, 0.000, 0.000], [0.500, 0.500, 0.500], [0.000, 0.000, 0.500], [0.000, 0.500, 0.000]],
  "dos_ef_per_ev_cell": 1.739,
  "energy_ev_per_atom": -17.593
}

=====

[10]
{
  "formula": "Na2LuC2O6F",
  "functional": "SCAN",
  "state": "single point on PBEsol structure",
  "cell": [[-5.789, 1.626, 0.241], [0.898, -8.441, 3.387], [1.731, 4.677, 10.001]],
  "species": ["Na", "Na", "Na", "Na", "Na", "Na", "Na", "Na", "Lu", "Lu", "Lu", "Lu", "C", "C", "C", "C", "C", "C", "C", "C", "O", "O", "O", "O", "O", "O", "O", "O", "O", "O", "O", "O", "O", "O", "O", "O", "O", "O", "O", "O", "O", "O", "O", "O", "F", "F", "F", "F"],
  "fractional_positions": [[0.520, 0.222, 0.879], [0.299, 0.778, 0.621], [0.480, 0.778, 0.121], [0.701, 0.222, 0.379], [0.146, 0.483, 0.863], [0.664, 0.517, 0.637], [0.854, 0.517, 0.137], [0.336, 0.483, 0.363], [0.903, 0.118, 0.628], [0.785, 0.882, 0.872], [0.097, 0.882, 0.372], [0.215, 0.118, 0.128], [0.354, 0.119, 0.615], [0.236, 0.881, 0.885], [0.646, 0.881, 0.385], [0.764, 0.119, 0.115], [0.122, 0.412, 0.582], [0.710, 0.588, 0.918], [0.878, 0.588, 0.418], [0.290, 0.412, 0.082], [0.568, 0.145, 0.586], [0.423, 0.855, 0.914], [0.432, 0.855, 0.414], [0.577, 0.145, 0.086], [0.292, 0.196, 0.700], [0.096, 0.804, 0.800], [0.708, 0.804, 0.300], [0.904, 0.196, 0.200], [0.817, 0.990, 0.440], [0.827, 0.010, 0.060], [0.183, 0.010, 0.560], [0.173, 0.990, 0.940], [0.994, 0.381, 0.678], [0.613, 0.619, 0.822], [0.006, 0.619, 0.322], [0.387, 0.381, 0.178], [0.070, 0.302, 0.497], [0.768, 0.698, 0.003], [0.930, 0.698, 0.503], [0.232, 0.302, 0.997], [0.293, 0.537, 0.571], [0.756, 0.463, 0.929], [0.707, 0.463, 0.429], [0.244, 0.537, 0.071], [0.819, 0.116, 0.817], [0.703, 0.884, 0.683], [0.181, 0.884, 0.183], [0.297, 0.116, 0.317]],
  "dos_ef_per_ev_cell": 0.000,
  "energy_ev_per_atom": -12.822
}

=====

[11]
{
  "formula": "RbMgCO3F",
  "functional": "SCAN",
  "state": "single point on PBEsol structure",
  "cell": [[3.941, 0.000, 0.000], [0.000, 9.030, 0.000], [0.000, -4.515, 7.820]],
  "species": ["Rb", "Rb", "Rb", "Mg", "Mg", "Mg", "C", "C", "C", "O", "O", "O", "O", "O", "O", "O", "O", "O", "F", "F", "F"],
  "fractional_positions": [[0.000, 0.000, 0.384], [0.000, 0.384, 0.000], [0.000, 0.616, 0.616], [0.500, 0.000, 0.720], [0.500, 0.720, 0.000], [0.500, 0.280, 0.280], [0.500, 0.333, 0.667], [0.500, 0.667, 0.333], [0.500, 0.000, 0.000], [0.500, 0.198, 0.681], [0.500, 0.482, 0.802], [0.500, 0.319, 0.518], [0.500, 0.518, 0.319], [0.500, 0.681, 0.198], [0.500, 0.802, 0.482], [0.500, 0.000, 0.143], [0.500, 0.143, 0.000], [0.500, 0.857, 0.857], [0.000, 0.277, 0.277], [0.000, 0.000, 0.723], [0.000, 0.723, 0.000]],
  "dos_ef_per_ev_cell": 0.000,
  "energy_ev_per_atom": -10.749
}

=====

[12]
{
  "formula": "Mo3CF",
  "functional": "SCAN",
  "state": "single point on PBEsol structure",
  "cell": [[-1.791, 2.498, -2.691], [-3.671, -1.186, 1.344], [0.041, 3.007, 2.765]],
  "species": ["Mo", "Mo", "Mo", "C", "F"],
  "fractional_positions": [[0.000, 0.500, 0.000], [0.000, 0.000, 0.500], [0.500, 0.000, 0.000], [0.000, 0.000, 0.000], [0.500, 0.500, 0.500]],
  "dos_ef_per_ev_cell": 3.009,
  "energy_ev_per_atom": -23.056
}